DFT (PBE-GGA) results for crystalline ZrCu2Pd at its relaxed geometry.

- DFT formation energy: -369 meV/atom
- Spin magnetization: 0.000 μB/atom

abc: 4.625 5.494 4.810
angles: 90.00 90.00 90.00
Space group Pmmn (No. 59, origin choice 2)
Symmetry-distinct sites (fractional):
Zr (0.250, 0.250, 0.150) [2 per cell]
Cu (0.250, 0.506, 0.652) [4 per cell]
Pd (0.250, 0.750, 0.174) [2 per cell]

***

DFT (PBE-GGA) results for crystalline ZrCuPd2 at its relaxed geometry.

- DFT formation energy: -407 meV/atom
- Spin magnetization: 0.000 μB/atom

abc: 6.364 6.364 6.364
angles: 90.00 90.00 90.00
Space group F-43m (No. 216)
Symmetry-distinct sites (fractional):
Zr (0.000, 0.000, 0.000) [4 per cell]
Cu (0.250, 0.250, 0.250) [4 per cell]
Pd (0.000, 0.000, 0.500) [4 per cell]
Pd (0.250, 0.250, 0.750) [4 per cell]

***

DFT (PBE-GGA) results for crystalline ZrCu4Pd at its relaxed geometry.

- DFT formation energy: -323 meV/atom
- Spin magnetization: 0.000 μB/atom

abc: 6.915 6.915 6.915
angles: 90.00 90.00 90.00
Space group F-43m (No. 216)
Symmetry-distinct sites (fractional):
Zr (0.000, 0.000, 0.000) [4 per cell]
Cu (0.124, 0.124, 0.376) [16 per cell]
Pd (0.250, 0.250, 0.750) [4 per cell]

***

DFT (PBE-GGA) results for crystalline ZrCu2Pd at its relaxed geometry.

- DFT formation energy: -263 meV/atom
- Spin magnetization: 0.001 μB/atom

abc: 6.270 6.270 6.270
angles: 90.00 90.00 90.00
Space group F-43m (No. 216)
Symmetry-distinct sites (fractional):
Zr (0.000, 0.000, 0.000) [4 per cell]
Cu (0.000, 0.000, 0.500) [4 per cell]
Cu (0.250, 0.250, 0.250) [4 per cell]
Pd (0.250, 0.250, 0.750) [4 per cell]

***

DFT (PBE-GGA) results for crystalline Zr2CuPd3 at its relaxed geometry.

- DFT formation energy: -649 meV/atom
- Spin magnetization: 0.004 μB/atom

abc: 3.460 3.460 8.560
angles: 90.00 90.00 90.00
Space group P4mm (No. 99)
Symmetry-distinct sites (fractional):
Zr (0.000, 0.000, 0.000) [1 per cell]
Zr (0.500, 0.500, 0.500) [1 per cell]
Cu (0.000, 0.000, 0.330) [1 per cell]
Pd (0.000, 0.000, 0.653) [1 per cell]
Pd (0.500, 0.500, 0.176) [1 per cell]
Pd (0.500, 0.500, 0.839) [1 per cell]

***

DFT (PBE-GGA) results for crystalline Pm2Cu at its relaxed geometry.

- DFT formation energy: 746 meV/atom
- Spin magnetization: 0.002 μB/atom
- Energy relative to the lowest polymorph listed for this composition: 1.90 eV/f.u.

abc: 8.804 8.804 8.804
angles: 90.00 90.00 90.00
Space group Fd-3m (No. 227, origin choice 2)
Symmetry-distinct sites (fractional):
Pm (0.000, 0.000, 0.000) [16 per cell]
Cu (0.125, 0.125, 0.625) [8 per cell]

***

DFT (PBE-GGA) results for crystalline Pm2Cu at its relaxed geometry.

- DFT formation energy: 114 meV/atom
- Spin magnetization: 0.255 μB/atom
- Energy relative to the lowest polymorph listed for this composition: 0.00 eV/f.u.

abc: 7.003 7.003 7.003
angles: 90.00 90.00 90.00
Space group Fm-3m (No. 225)
Symmetry-distinct sites (fractional):
Pm (0.250, 0.250, 0.250) [8 per cell]
Cu (0.000, 0.000, 0.000) [4 per cell]

***

DFT (PBE-GGA) results for crystalline Pm2Cu at its relaxed geometry.

- DFT formation energy: 1351 meV/atom
- Spin magnetization: 0.003 μB/atom
- Energy relative to the lowest polymorph listed for this composition: 3.71 eV/f.u.

abc: 12.140 12.140 12.140
angles: 90.00 90.00 90.00
Space group Fd-3m (No. 227, origin choice 2)
Symmetry-distinct sites (fractional):
Pm (0.000, 0.000, 0.000) [16 per cell]
Cu (0.125, 0.125, 0.125) [8 per cell]

***

DFT (PBE-GGA) results for crystalline PmCuPt at its relaxed geometry.

- DFT formation energy: -145 meV/atom
- Spin magnetization: 0.000 μB/atom
- Energy relative to the lowest polymorph listed for this composition: 1.19 eV/f.u.

abc: 6.613 6.613 6.613
angles: 90.00 90.00 90.00
Space group F-43m (No. 216)
Symmetry-distinct sites (fractional):
Pm (0.000, 0.000, 0.000) [4 per cell]
Cu (0.250, 0.250, 0.750) [4 per cell]
Pt (0.250, 0.250, 0.250) [4 per cell]

***

DFT (PBE-GGA) results for crystalline PmCuPt at its relaxed geometry.

- DFT formation energy: -540 meV/atom
- Spin magnetization: 0.000 μB/atom
- Energy relative to the lowest polymorph listed for this composition: 0.00 eV/f.u.

abc: 6.515 6.515 6.515
angles: 90.00 90.00 90.00
Space group F-43m (No. 216)
Symmetry-distinct sites (fractional):
Pm (0.000, 0.000, 0.000) [4 per cell]
Cu (0.000, 0.000, 0.500) [4 per cell]
Pt (0.250, 0.250, 0.750) [4 per cell]

***

DFT (PBE-GGA) results for crystalline PmPu2Cu9 at its relaxed geometry.

- DFT formation energy: 178 meV/atom
- Spin magnetization: 0.002 μB/atom

abc: 4.9123 4.9123 25.4311
angles: 90.00 90.00 120.00
Space group R-3m (No. 166, hexagonal axes)
Symmetry-distinct sites (fractional):
Pm (0.0000, 0.0000, 0.0000) [3 per cell]
Pu (0.0000, 0.0000, 0.1557) [6 per cell]
Cu (0.0000, 0.0000, 0.3315) [6 per cell]
Cu (0.0000, 0.0000, 0.5000) [3 per cell]
Cu (0.0035, 0.5018, 0.0814) [18 per cell]

***

DFT (PBE-GGA) results for crystalline RbPm2Cu3S5 at its relaxed geometry.

- Calculated total energy: -5.060 eV/atom
- Spin magnetization: 0.000 μB/atom

abc: 4.028 14.074 17.009
angles: 90.00 90.00 90.00
Space group Cmcm (No. 63)
Symmetry-distinct sites (fractional):
Rb (0.000, 0.067, 0.250) [4 per cell]
Pm (0.000, 0.191, 0.593) [8 per cell]
Cu (0.000, 0.344, 0.250) [4 per cell]
Cu (0.000, 0.417, 0.540) [8 per cell]
S (0.000, 0.163, 0.070) [8 per cell]
S (0.000, 0.237, 0.750) [4 per cell]
S (0.000, 0.442, 0.115) [8 per cell]